# 1
VASP calculation (PBE-GGA) on crystalline Rb3Pu3IrS8 at its relaxed geometry.

Cell: 7.9224 7.9064 9.0779 Å, 115.82 90.12 119.94°
With the nearest neighbours (Å) after each atom.
Fractional positions:
Pu 0.5000 0.0000 0.5000  6 S 2.74-2.77
Pu 0.0000 0.5000 0.5000  6 S 2.76-2.77
Pu 0.5000 0.5000 0.5000  6 S 2.74-2.77
S 0.2703 0.5382 0.3061  3 Pu 2.74-2.76
S 0.2089 0.4182 0.6754  1 Ir 2.48, 2 Pu 2.77
S 0.7911 0.5818 0.3246  1 Ir 2.48, 2 Pu 2.77
S 0.7911 0.0338 0.3246  1 Ir 2.48, 2 Pu 2.77
S 0.2441 0.0350 0.3259  1 Ir 2.48, 2 Pu 2.76
S 0.7559 0.9650 0.6741  1 Ir 2.48, 2 Pu 2.76
S 0.7297 0.4618 0.6939  3 Pu 2.74-2.76
S 0.2089 0.9662 0.6754  1 Ir 2.48, 2 Pu 2.77
Rb 0.0000 0.0000 0.0000  6 S 3.32-3.36
Rb 0.5000 0.5000 0.0000  6 S 3.31-3.35
Rb 0.0000 0.5000 0.0000  6 S 3.32-3.36
Ir 0.0000 0.0000 0.5000  6 S 2.48

Results
* total energy: -106.39 eV for the cell shown
* spin magnetization: 4.7 μB per formula unit
* DOS at the Fermi energy: 28.0 states/eV/cell
* raw formation energy: -1241 meV/atom


# 2
VASP calculation (PBE-GGA) on crystalline Pu3Ir2Rh at its relaxed geometry.

Cell: 2.9024 2.9024 13.9457 Å, 90.00 90.00 90.00°
With the nearest neighbours (Å) after each atom.
Fractional positions:
Pu 0.0000 0.0000 0.8205  1 Pu 2.50
Pu 0.0000 0.0000 0.1795  1 Pu 2.50
Pu 0.0000 0.0000 0.0000  2 Pu 2.50
Rh 0.5000 0.5000 0.5000  2 Ir 2.51
Ir 0.5000 0.5000 0.6799  1 Rh 2.51
Ir 0.5000 0.5000 0.3201  1 Rh 2.51

Results
* total energy: -65.39 eV for the cell shown
* spin magnetization: 2.9 μB per formula unit
* formation enthalpy at 0 K: 446 meV/atom
* DOS at the Fermi energy: 14.2 states/eV/cell


# 3
VASP calculation (PBE-GGA) on crystalline Pu12Ir6Rh at its relaxed geometry.

Cell: 7.3217 7.3217 7.3217 Å, 95.02 95.02 95.02°
With the nearest neighbours (Å) after each atom.
Fractional positions:
Ir 0.1060 0.7636 0.2555  1 Rh 2.77, 6 Pu 2.80-3.05, 2 Ir 2.89
Ir 0.8940 0.2364 0.7445  1 Rh 2.77, 6 Pu 2.80-3.05, 2 Ir 2.89
Ir 0.7636 0.2555 0.1060  1 Rh 2.77, 6 Pu 2.80-3.05, 2 Ir 2.89
Ir 0.2364 0.7445 0.8940  1 Rh 2.77, 6 Pu 2.80-3.05, 2 Ir 2.89
Ir 0.7445 0.8940 0.2364  1 Rh 2.77, 6 Pu 2.80-3.05, 2 Ir 2.89
Ir 0.2555 0.1060 0.7636  1 Rh 2.77, 6 Pu 2.80-3.05, 2 Ir 2.89
Pu 0.8472 0.6047 0.9188  1 Pu 2.65, 1 Ir 2.94
Pu 0.0812 0.1528 0.3953  1 Pu 2.65, 1 Ir 2.94
Pu 0.5983 0.1771 0.4697  2 Pu 2.65-2.94, 2 Ir 2.80-2.91
Pu 0.4697 0.5983 0.1771  2 Pu 2.65-2.94, 2 Ir 2.80-2.91
Pu 0.1528 0.3953 0.0812  1 Pu 2.65, 1 Ir 2.94
Pu 0.4017 0.8229 0.5303  2 Pu 2.65-2.94, 2 Ir 2.80-2.91
Pu 0.3953 0.0812 0.1528  1 Pu 2.65, 1 Ir 2.94
Pu 0.5303 0.4017 0.8229  2 Pu 2.65-2.94, 2 Ir 2.80-2.91
Pu 0.9188 0.8472 0.6047  1 Pu 2.65, 1 Ir 2.94
Pu 0.6047 0.9188 0.8472  1 Pu 2.65, 1 Ir 2.94
Pu 0.1771 0.4697 0.5983  2 Pu 2.65-2.94, 2 Ir 2.80-2.91
Pu 0.8229 0.5303 0.4017  2 Pu 2.65-2.94, 2 Ir 2.80-2.91
Rh 0.0000 0.0000 0.0000  6 Ir 2.77, 6 Pu 3.00

Results
* total energy: -237.88 eV for the cell shown
* spin magnetization: 0.1 μB per formula unit
* formation enthalpy at 0 K: -283 meV/atom
* DOS at the Fermi energy: 62.7 states/eV/cell


# 4
VASP calculation (PBE-GGA) on crystalline Pu4IrRh at its relaxed geometry.

Cell: 5.0902 5.6002 5.6018 Å, 53.97 89.90 89.90°
With the nearest neighbours (Å) after each atom.
Fractional positions:
Rh 0.5016 0.4970 0.9984  8 Pu 2.95-2.97
Pu 0.5010 0.8459 0.3473  2 Rh 2.96, 2 Ir 2.96, 5 Pu 3.02-3.22
Pu 0.5014 0.1483 0.6493  2 Ir 2.95-2.96, 2 Rh 2.95-2.96, 5 Pu 3.02-3.22
Pu 0.0017 0.6490 0.1500  2 Ir 2.96, 2 Rh 2.96-2.97, 5 Pu 3.03-3.22
Pu 0.0011 0.3459 0.8459  2 Rh 2.96-2.97, 2 Ir 2.96, 5 Pu 3.03-3.22
Ir 0.0011 0.9975 0.4979  8 Pu 2.95-2.96

Results
* total energy: -75.05 eV for the cell shown
* spin magnetization: 21.1 μB per formula unit
* formation enthalpy at 0 K: -252 meV/atom
* DOS at the Fermi energy: 25.2 states/eV/cell


Repeat the fourth record exactly.
VASP calculation (PBE-GGA) on crystalline Pu4IrRh at its relaxed geometry.

Cell: 5.0902 5.6002 5.6018 Å, 53.97 89.90 89.90°
With the nearest neighbours (Å) after each atom.
Fractional positions:
Rh 0.5016 0.4970 0.9984  8 Pu 2.95-2.97
Pu 0.5010 0.8459 0.3473  2 Rh 2.96, 2 Ir 2.96, 5 Pu 3.02-3.22
Pu 0.5014 0.1483 0.6493  2 Ir 2.95-2.96, 2 Rh 2.95-2.96, 5 Pu 3.02-3.22
Pu 0.0017 0.6490 0.1500  2 Ir 2.96, 2 Rh 2.96-2.97, 5 Pu 3.03-3.22
Pu 0.0011 0.3459 0.8459  2 Rh 2.96-2.97, 2 Ir 2.96, 5 Pu 3.03-3.22
Ir 0.0011 0.9975 0.4979  8 Pu 2.95-2.96

Results
* total energy: -75.05 eV for the cell shown
* spin magnetization: 21.1 μB per formula unit
* formation enthalpy at 0 K: -252 meV/atom
* DOS at the Fermi energy: 25.2 states/eV/cell


- spin magnetization of number 3 (Pu12Ir6Rh)?
  0.1 μB per formula unit